Arrangement P

Density functional theory data (PBE+U) for crystalline Ba2Y2MgFe4O10 at its relaxed geometry.

## Properties
* total moment: 16.01 μB/f.u.

Cell and atoms, written as POSCAR:
```
Ba2Y2MgFe4O10
1.0
8.7770 0.0000 0.0000
0.0000 3.5891 0.0000
-1.8356 0.0000 9.5707
Ba Y Mg Fe O
2 2 1 4 10
Direct
0.0000 0.0000 0.0000
0.4725 0.0000 0.0310
0.3890 0.0000 0.5877
0.8888 0.0000 0.6242
0.2838 0.5000 0.2389
0.0647 0.5000 0.3829
0.2013 0.5000 0.7872
0.6382 0.5000 0.4093
0.6721 0.5000 0.8180
0.1272 0.0000 0.2618
0.1587 0.0000 0.6957
0.2242 0.5000 0.0094
0.2993 0.5000 0.4552
0.4401 0.5000 0.7503
0.5044 0.5000 0.2279
0.6284 0.0000 0.5246
0.7029 0.0000 0.9056
0.8861 0.5000 0.4710
0.9021 0.5000 0.7736
```



Arrangement Q

Density functional theory data (PBE+U) for crystalline Ba2Y2MgFe4O10 at its relaxed geometry.

## Properties
* total moment: 6.01 μB/f.u.

Cell and atoms, written as POSCAR:
```
Ba2Y2MgFe4O10
1.0
9.4165 -1.9877 0.0000
9.4165 1.9877 0.0000
-1.6026 0.0000 7.4370
Ba Y Mg Fe O
2 2 1 4 10
Direct
0.0000 0.0000 0.0000
0.0158 0.0158 0.5059
0.8037 0.8037 0.8999
0.8090 0.8090 0.3974
0.6396 0.6396 0.3059
0.2014 0.2014 0.0862
0.2019 0.2019 0.5885
0.4019 0.4019 0.2032
0.4073 0.4073 0.6952
0.1656 0.1656 0.3179
0.2299 0.2299 0.8521
0.3592 0.3592 0.4188
0.3810 0.3810 0.9449
0.5129 0.5129 0.7415
0.5315 0.5315 0.2646
0.7104 0.7104 0.5601
0.7149 0.7149 0.1261
0.8696 0.8696 0.6849
0.8840 0.8840 0.1903
```



Relative energy table, unit meV/atom: arrangement P 0; arrangement Q 181